1.
The following is a DFT calculation (PBE-GGA) of Rb2Ti3I9 after structural relaxation.

Output
Its uncorrected formation energy is -12.164 eV per formula unit. The calculated volume comes out at 1185 Å³ per cell. The value obtained for the density is 4.1 g/cm³. The value obtained for the final energy is -3.6953 eV per atom.

Cell: 11.488 11.488 11.092 Å, 101.98 101.98 117.89°
Fractional positions:
Rb: 0.061 0.733 0.679
Rb: 0.267 0.939 0.321
Rb: 0.733 0.061 0.679
Rb: 0.939 0.267 0.321
Ti: 0.282 0.445 0.863
Ti: 0.368 0.368 0.121
Ti: 0.445 0.282 0.863
Ti: 0.555 0.718 0.137
Ti: 0.632 0.632 0.879
Ti: 0.718 0.555 0.137
I: 0.008 0.396 0.681
I: 0.103 0.305 0.987
I: 0.192 0.192 0.678
I: 0.227 0.227 0.291
I: 0.305 0.103 0.987
I: 0.306 0.694 0.000
I: 0.392 0.584 0.700
I: 0.396 0.008 0.681
I: 0.416 0.608 0.300
I: 0.584 0.392 0.700
I: 0.604 0.992 0.319
I: 0.608 0.416 0.300
I: 0.694 0.306 0.000
I: 0.695 0.897 0.013
I: 0.773 0.773 0.709
I: 0.808 0.808 0.322
I: 0.897 0.695 0.013
I: 0.992 0.604 0.319


2.
The following is a DFT calculation (PBE-GGA) of RbTi3I after structural relaxation.

Output
Its uncorrected formation energy is 6.173 eV per formula unit. The calculated volume comes out at 142 Å³ per cell. The calculation puts the energy above the most stable polymorph in this dataset at 0 meV/atom. The value obtained for the density is 4.2 g/cm³. The value obtained for the final energy is -4.0058 eV per atom.

Cell: 5.214 5.214 5.214 Å, 90.00 90.00 90.00°
Fractional positions:
Rb: 0.000 0.000 0.000
Ti: 0.000 0.500 0.500
Ti: 0.500 0.000 0.500
Ti: 0.500 0.500 0.000
I: 0.500 0.500 0.500


3.
The following is a DFT calculation (PBE-GGA) of RbTi2I7 after structural relaxation.

Output
Its uncorrected formation energy is -7.361 eV per formula unit. The calculated volume comes out at 389 Å³ per cell. The value obtained for the density is 4.6 g/cm³. The value obtained for the final energy is -3.4969 eV per atom.

Cell: 8.932 8.932 5.539 Å, 90.00 90.00 118.26°
Fractional positions:
Rb: 0.000 0.000 0.000
Ti: 0.299 0.701 0.500
Ti: 0.701 0.299 0.500
I: 0.046 0.333 0.500
I: 0.303 0.697 0.000
I: 0.333 0.046 0.500
I: 0.500 0.500 0.500
I: 0.667 0.954 0.500
I: 0.697 0.303 0.000
I: 0.954 0.667 0.500


4.
The following is a DFT calculation (PBE-GGA) of RbTiI3 after structural relaxation.

Output
Its uncorrected formation energy is 1.662 eV per formula unit. The calculated volume comes out at 281 Å³ per cell. The value obtained for the density is 3.0 g/cm³. The value obtained for the final energy is -2.3703 eV per atom.

Cell: 6.549 6.549 6.549 Å, 90.00 90.00 90.00°
Fractional positions:
Rb: 0.000 0.000 0.000
Ti: 0.500 0.500 0.500
I: 0.000 0.000 0.500
I: 0.000 0.500 0.000
I: 0.500 0.000 0.000


5.
The following is a DFT calculation (PBE-GGA) of RbTiI6 after structural relaxation.

Output
Its uncorrected formation energy is -6.012 eV per formula unit. The calculated volume comes out at 343 Å³ per cell. The value obtained for the density is 4.3 g/cm³. The value obtained for the final energy is -3.0219 eV per atom.

Cell: 6.778 7.128 8.026 Å, 99.53 112.36 98.99°
Fractional positions:
Rb: 0.000 0.000 0.000
Ti: 0.000 0.500 0.500
I: 0.206 0.190 0.546
I: 0.207 0.602 0.281
I: 0.349 0.734 0.814
I: 0.651 0.266 0.186
I: 0.793 0.398 0.719
I: 0.794 0.810 0.454


6.
The following is a DFT calculation (PBE-GGA) of Rb2TiTlI6 after structural relaxation.

Output
Its uncorrected formation energy is -10.039 eV per formula unit. The calculated volume comes out at 459 Å³ per cell. The value obtained for the density is 4.3 g/cm³. The value obtained for the final energy is -3.1536 eV per atom.

Cell: 8.457 8.470 8.477 Å, 63.20 63.13 63.03°
Fractional positions:
Rb: 0.234 0.234 0.234
Rb: 0.766 0.766 0.766
Ti: 0.000 0.000 0.000
Tl: 0.500 0.500 0.500
I: 0.141 0.307 0.794
I: 0.208 0.860 0.692
I: 0.308 0.792 0.140
I: 0.692 0.208 0.860
I: 0.792 0.140 0.308
I: 0.859 0.693 0.206


7.
The following is a DFT calculation (PBE-GGA) of RbTi2TlI8 after structural relaxation.

Output
Its uncorrected formation energy is -9.525 eV per formula unit. The calculated volume comes out at 604 Å³ per cell. The value obtained for the density is 3.8 g/cm³. The value obtained for the final energy is -3.4208 eV per atom.

Cell: 7.716 7.716 11.721 Å, 90.00 90.00 120.00°
Fractional positions:
Rb: 0.000 0.000 0.000
Ti: 0.333 0.667 0.770
Ti: 0.667 0.333 0.230
Tl: 0.000 0.000 0.500
I: 0.005 0.340 0.703
I: 0.333 0.667 0.994
I: 0.335 0.995 0.703
I: 0.340 0.335 0.297
I: 0.660 0.665 0.703
I: 0.665 0.005 0.297
I: 0.667 0.333 0.006
I: 0.995 0.660 0.297


8.
The following is a DFT calculation (PBE-GGA) of RbTiTl2I6 after structural relaxation.

Output
Its uncorrected formation energy is -8.276 eV per formula unit. The calculated volume comes out at 466 Å³ per cell. The value obtained for the density is 4.6 g/cm³. The value obtained for the final energy is -3.1171 eV per atom.

Cell: 8.534 8.549 8.867 Å, 61.26 61.27 60.06°
Fractional positions:
Rb: 0.000 0.000 0.000
Ti: 0.509 0.509 0.473
Tl: 0.194 0.193 0.420
Tl: 0.707 0.707 0.877
I: 0.176 0.723 0.689
I: 0.315 0.592 0.242
I: 0.412 0.176 0.689
I: 0.592 0.850 0.242
I: 0.724 0.412 0.688
I: 0.850 0.316 0.241


9.
The following is a DFT calculation (PBE-GGA) of RbTiTl2I8 after structural relaxation.

Output
Its uncorrected formation energy is -8.854 eV per formula unit. The calculated volume comes out at 512 Å³ per cell. The value obtained for the density is 5.1 g/cm³. The value obtained for the final energy is -2.9042 eV per atom.

Cell: 6.630 8.075 10.135 Å, 88.25 71.17 85.36°
Fractional positions:
Rb: 0.000 0.000 0.000
Ti: 0.500 0.000 0.500
Tl: 0.395 0.547 0.318
Tl: 0.605 0.453 0.682
I: 0.191 0.258 0.602
I: 0.211 0.775 0.636
I: 0.243 0.501 0.009
I: 0.389 0.979 0.258
I: 0.611 0.021 0.742
I: 0.757 0.499 0.991
I: 0.789 0.225 0.364
I: 0.809 0.742 0.398


10.
The following is a DFT calculation (PBE-GGA) of RbTiTlI6 after structural relaxation.

Output
Its uncorrected formation energy is -7.384 eV per formula unit. The calculated volume comes out at 431 Å³ per cell. The value obtained for the density is 4.2 g/cm³. The value obtained for the final energy is -3.1015 eV per atom.

Cell: 8.512 8.512 6.883 Å, 90.01 90.01 120.16°
Fractional positions:
Rb: 0.000 0.000 0.000
Ti: 0.333 0.667 0.000
Tl: 0.666 0.334 0.500
I: 0.063 0.406 0.236
I: 0.064 0.658 0.763
I: 0.341 0.407 0.763
I: 0.342 0.936 0.237
I: 0.593 0.659 0.237
I: 0.594 0.937 0.764


11.
The following is a DFT calculation (PBE-GGA) of RbTiVI6 after structural relaxation.

Output
Its uncorrected formation energy is -7.188 eV per formula unit. The calculated volume comes out at 780 Å³ per cell. The value obtained for the density is 4.0 g/cm³. The value obtained for the final energy is -3.8300 eV per atom.

Cell: 7.397 7.397 16.459 Å, 90.00 90.00 120.00°
Fractional positions:
Rb: 0.000 0.000 0.000
Rb: 0.000 0.000 0.500
Ti: 0.333 0.667 0.250
Ti: 0.667 0.333 0.750
V: 0.333 0.667 0.750
V: 0.667 0.333 0.250
I: 0.001 0.375 0.652
I: 0.001 0.625 0.848
I: 0.375 0.001 0.152
I: 0.375 0.375 0.348
I: 0.375 0.375 0.848
I: 0.375 0.999 0.652
I: 0.625 0.001 0.348
I: 0.625 0.625 0.152
I: 0.625 0.625 0.652
I: 0.625 0.999 0.848
I: 0.999 0.375 0.152
I: 0.999 0.625 0.348


12.
The following is a DFT calculation (PBE-GGA) of Rb2ZrTiI6 after structural relaxation.

Output
Its uncorrected formation energy is -8.627 eV per formula unit. The calculated volume comes out at 406 Å³ per cell. The value obtained for the density is 4.4 g/cm³. The value obtained for the final energy is -3.6306 eV per atom.

Cell: 8.315 8.315 8.315 Å, 60.00 60.00 60.00°
Fractional positions:
Rb: 0.250 0.250 0.250
Rb: 0.750 0.750 0.750
Zr: 0.000 0.000 0.000
Ti: 0.500 0.500 0.500
I: 0.252 0.252 0.748
I: 0.252 0.748 0.252
I: 0.252 0.748 0.748
I: 0.748 0.252 0.252
I: 0.748 0.252 0.748
I: 0.748 0.748 0.252